A plane-wave DFT calculation with PBE was carried out for TlGa4Sn after structural relaxation.

```
TlGa4Sn
1.0
8.491 0.000 0.000
0.000 16.350 0.000
0.000 0.000 4.297
Tl Ga Sn
4 16 4
direct
0.132 0.155 0.000 Tl
0.368 0.655 0.000 Tl
0.632 0.345 0.000 Tl
0.868 0.845 0.000 Tl
0.002 0.699 0.500 Ga
0.120 0.555 0.500 Ga
0.131 0.966 0.500 Ga
0.200 0.812 0.500 Ga
0.300 0.312 0.500 Ga
0.369 0.466 0.500 Ga
0.380 0.055 0.500 Ga
0.498 0.199 0.500 Ga
0.502 0.801 0.500 Ga
0.620 0.945 0.500 Ga
0.631 0.534 0.500 Ga
0.700 0.688 0.500 Ga
0.800 0.188 0.500 Ga
0.869 0.034 0.500 Ga
0.880 0.445 0.500 Ga
0.998 0.301 0.500 Ga
0.141 0.413 0.000 Sn
0.359 0.913 0.000 Sn
0.641 0.087 0.000 Sn
0.859 0.587 0.000 Sn
```

Output
theoretical density	6.70	Mg/m³
crystal system	orthorhombic
E above lowest polymorph	5.1	meV per atom
formation enthalpy at 0 K	41.2	kJ/mol of formula units

A plane-wave DFT calculation with PBE was carried out for LiGaP2Pb after structural relaxation.

```
LiGaP2Pb
1.0
4.868 0.000 0.000
0.000 4.868 0.000
0.000 0.000 4.625
Li Ga P Pb
1 1 2 1
direct
0.000 0.000 0.000 Li
0.000 0.000 0.500 Ga
0.000 0.500 0.500 P
0.500 0.000 0.500 P
0.500 0.500 0.000 Pb
```

Output
theoretical density	5.24	Mg/m³
crystal system	tetragonal
formation enthalpy at 0 K	163.8	kJ/mol of formula units

A plane-wave DFT calculation with PBE was carried out for Rb2PdF after structural relaxation.

```
Rb2PdF
1.0
0.000 3.843 3.843
3.843 0.000 3.843
3.843 3.843 0.000
Rb Pd F
2 1 1
direct
0.250 0.250 0.250 Rb
0.750 0.750 0.750 Rb
0.000 0.000 0.000 Pd
0.500 0.500 0.500 F
```

Output
theoretical density	4.33	Mg/m³
crystal system	cubic
E above lowest polymorph	195.1	meV per atom

A plane-wave DFT calculation with PBE was carried out for NdSm4Ho5 after structural relaxation.

```
NdSm4Ho5
1.0
8.605 -1.771 0.000
8.605 1.771 0.000
-0.034 0.000 11.140
Nd Sm Ho
1 4 5
direct
0.000 0.000 0.000 Nd
0.155 0.155 0.250 Sm
0.470 0.470 0.252 Sm
0.530 0.530 0.748 Sm
0.845 0.845 0.750 Sm
0.000 0.000 0.500 Ho
0.325 0.325 0.054 Ho
0.327 0.327 0.451 Ho
0.673 0.673 0.549 Ho
0.675 0.675 0.946 Ho
```

Output
theoretical density	7.68	Mg/m³
crystal system	monoclinic
E above lowest polymorph	0.0	meV per atom
formation enthalpy at 0 K	184.9	kJ/mol of formula units

A plane-wave DFT calculation with PBE was carried out for BeSb2Se after structural relaxation.

```
BeSb2Se
1.0
5.991 -1.670 0.000
5.991 1.670 0.000
-2.473 0.000 5.109
Be Sb Se
1 2 1
direct
0.000 0.000 0.000 Be
0.304 0.304 0.819 Sb
0.473 0.473 0.387 Sb
0.631 0.631 0.155 Se
```

Output
theoretical density	5.39	Mg/m³
crystal system	monoclinic
E above lowest polymorph	195.6	meV per atom

A plane-wave DFT calculation with PBE was carried out for CdIn2Te after structural relaxation.

```
CdIn2Te
1.0
4.406 0.000 0.000
-0.784 4.355 0.000
-1.404 -2.439 6.018
Cd In Te
1 2 1
direct
0.000 0.000 0.000 Cd
0.000 0.502 0.504 In
0.510 0.277 0.787 In
0.494 0.782 0.272 Te
```

Output
theoretical density	6.75	Mg/m³
crystal system	triclinic
E above lowest polymorph	41.0	meV per atom

A plane-wave DFT calculation with PBE was carried out for CaLaTe2 after structural relaxation.

```
CaLaTe2
1.0
2.210 1.276 7.990
-2.210 1.276 7.990
0.000 -2.552 7.990
Ca La Te
1 1 2
direct
0.000 0.000 0.000 Ca
0.172 0.172 0.172 La
0.588 0.588 0.588 Te
0.753 0.753 0.753 Te
```

Output
theoretical density	5.33	Mg/m³
crystal system	trigonal
E above lowest polymorph	84.7	meV per atom

A plane-wave DFT calculation with PBE was carried out for LiMgCu2 after structural relaxation.

```
LiMgCu2
1.0
4.814 -1.445 0.000
4.814 1.445 0.000
-1.511 0.000 4.264
Li Mg Cu
1 1 2
direct
0.000 0.000 0.000 Li
0.215 0.215 0.659 Mg
0.463 0.463 0.470 Cu
0.751 0.751 0.182 Cu
```

Output
theoretical density	4.43	Mg/m³
crystal system	monoclinic
formation enthalpy at 0 K	-15.1	kJ/mol of formula units

A plane-wave DFT calculation with PBE was carried out for ReAg2O6 after structural relaxation.

```
ReAg2O6
1.0
4.878 0.000 0.000
0.000 4.878 0.000
0.000 0.000 9.748
Re Ag O
2 4 12
direct
0.000 0.000 0.000 Re
0.500 0.500 0.500 Re
0.000 0.000 0.338 Ag
0.000 0.000 0.662 Ag
0.500 0.500 0.162 Ag
0.500 0.500 0.838 Ag
0.184 0.184 0.146 O
0.184 0.184 0.854 O
0.224 0.224 0.500 O
0.276 0.724 0.000 O
0.316 0.684 0.354 O
0.316 0.684 0.646 O
0.684 0.316 0.354 O
0.684 0.316 0.646 O
0.724 0.276 0.000 O
0.776 0.776 0.500 O
0.816 0.816 0.146 O
0.816 0.816 0.854 O
```

Output
theoretical density	7.13	Mg/m³
crystal system	tetragonal

A plane-wave DFT calculation with PBE was carried out for Ce2HfMg after structural relaxation.

```
Ce2HfMg
1.0
3.160 0.000 0.000
0.000 3.160 0.000
0.000 0.000 10.224
Ce Hf Mg
2 1 1
direct
0.000 0.000 0.240 Ce
0.000 0.000 0.760 Ce
0.500 0.500 0.000 Hf
0.500 0.500 0.500 Mg
```

Output
theoretical density	7.85	Mg/m³
crystal system	tetragonal
E above lowest polymorph	0.0	meV per atom
formation enthalpy at 0 K	27.6	kJ/mol of formula units

A plane-wave DFT calculation with PBE was carried out for Sc4Te2PAu after structural relaxation.

```
Sc4Te2PAu
1.0
6.924 0.000 0.000
0.000 3.927 0.000
-2.236 0.000 6.767
Sc Te P Au
4 2 1 1
direct
0.212 0.000 0.224 Sc
0.220 0.500 0.756 Sc
0.780 0.500 0.244 Sc
0.788 0.000 0.776 Sc
0.500 0.000 0.000 Te
0.500 0.500 0.500 Te
0.000 0.500 0.000 P
0.000 0.000 0.500 Au
```

Output
theoretical density	5.98	Mg/m³
crystal system	monoclinic

A plane-wave DFT calculation with PBE was carried out for Pm5Tm8In after structural relaxation.

```
Pm5Tm8In
1.0
7.521 -4.162 0.000
7.521 4.162 0.000
-4.585 0.000 7.185
Pm Tm In
5 8 1
direct
0.000 0.000 0.000 Pm
0.287 0.613 0.719 Pm
0.387 0.713 0.281 Pm
0.569 0.229 0.042 Pm
0.771 0.431 0.958 Pm
0.083 0.536 0.932 Tm
0.183 0.074 0.679 Tm
0.274 0.368 0.283 Tm
0.464 0.917 0.068 Tm
0.556 0.074 0.574 Tm
0.632 0.726 0.717 Tm
0.926 0.444 0.426 Tm
0.926 0.817 0.321 Tm
0.714 0.286 0.500 In
```

Output
theoretical density	8.09	Mg/m³
crystal system	monoclinic
formation enthalpy at 0 K	134.8	kJ/mol of formula units

A plane-wave DFT calculation with PBE was carried out for LaPtRh2 after structural relaxation.

```
LaPtRh2
1.0
-2.136 2.136 3.997
2.136 -2.136 3.997
2.136 2.136 -3.997
La Pt Rh
1 1 2
direct
0.000 0.000 0.000 La
0.500 0.500 0.000 Pt
0.250 0.750 0.500 Rh
0.750 0.250 0.500 Rh
```

Output
theoretical density	12.29	Mg/m³
crystal system	tetragonal
formation enthalpy at 0 K	-158.5	kJ/mol of formula units

A plane-wave DFT calculation with PBE was carried out for Pr3Mg3Ag8 after structural relaxation.

```
Pr3Mg3Ag8
1.0
-2.375 4.910 6.840
2.375 -4.910 6.840
2.375 4.910 -6.840
Pr Mg Ag
3 3 8
direct
0.000 0.000 0.000 Pr
0.291 0.291 0.000 Pr
0.709 0.709 0.000 Pr
0.300 0.500 0.800 Mg
0.500 0.000 0.500 Mg
0.700 0.500 0.200 Mg
0.024 0.664 0.359 Ag
0.158 0.871 0.287 Ag
0.305 0.664 0.641 Ag
0.417 0.129 0.287 Ag
0.583 0.871 0.713 Ag
0.695 0.336 0.359 Ag
0.842 0.129 0.713 Ag
0.976 0.336 0.641 Ag
```

Output
theoretical density	7.07	Mg/m³
crystal system	orthorhombic
formation enthalpy at 0 K	-305.9	kJ/mol of formula units

A plane-wave DFT calculation with PBE was carried out for AcPaP after structural relaxation.

```
AcPaP
1.0
3.951 0.000 0.000
-1.975 3.421 0.000
0.000 0.000 6.829
Ac Pa P
1 1 1
direct
0.000 0.000 0.000 Ac
0.667 0.333 0.522 Pa
0.333 0.667 0.295 P
```

Output
theoretical density	8.80	Mg/m³
crystal system	trigonal
E above lowest polymorph	0.0	meV per atom
formation enthalpy at 0 K	-138.7	kJ/mol of formula units

A plane-wave DFT calculation with PBE was carried out for LiLaIN after structural relaxation.

```
LiLaIN
1.0
1.998 1.153 7.004
-1.998 1.153 7.004
0.000 -2.307 7.004
Li La I N
1 1 1 1
direct
0.000 0.000 0.000 Li
0.455 0.455 0.455 La
0.261 0.261 0.261 I
0.092 0.092 0.092 N
```

Output
theoretical density	4.92	Mg/m³
crystal system	trigonal

A plane-wave DFT calculation with PBE was carried out for ZnTcSe2Br after structural relaxation.

```
ZnTcSe2Br
1.0
4.725 0.000 0.000
0.000 4.725 0.000
0.000 0.000 5.845
Zn Tc Se Br
1 1 2 1
direct
0.000 0.000 0.000 Zn
0.000 0.000 0.500 Tc
0.000 0.500 0.000 Se
0.500 0.000 0.000 Se
0.500 0.500 0.500 Br
```

Output
theoretical density	5.11	Mg/m³
crystal system	tetragonal
E above lowest polymorph	619.2	meV per atom

A plane-wave DFT calculation with PBE was carried out for Dy3Si4 after structural relaxation.

```
Dy3Si4
1.0
1.990 -5.257 0.000
1.990 5.257 0.000
0.000 0.000 13.674
Dy Si
6 8
direct
0.021 0.979 0.750 Dy
0.316 0.684 0.598 Dy
0.316 0.684 0.902 Dy
0.684 0.316 0.098 Dy
0.684 0.316 0.402 Dy
0.979 0.021 0.250 Dy
0.000 0.000 0.000 Si
0.000 0.000 0.500 Si
0.257 0.743 0.250 Si
0.397 0.603 0.106 Si
0.397 0.603 0.394 Si
0.603 0.397 0.606 Si
0.603 0.397 0.894 Si
0.743 0.257 0.750 Si
```

Output
theoretical density	6.96	Mg/m³
crystal system	orthorhombic

A plane-wave DFT calculation with PBE was carried out for Cs2YPuS4 after structural relaxation.

```
Cs2YPuS4
1.0
7.195 0.000 0.000
0.000 4.146 0.000
-2.393 0.000 8.042
Cs Y Pu S
2 1 1 4
direct
0.000 0.000 0.000 Cs
0.500 0.500 0.000 Cs
0.000 0.500 0.500 Y
0.500 0.000 0.500 Pu
0.224 0.000 0.682 S
0.272 0.500 0.320 S
0.728 0.500 0.680 S
0.776 0.000 0.318 S
```

Output
theoretical density	5.03	Mg/m³
crystal system	monoclinic

A plane-wave DFT calculation with PBE was carried out for CaPr5NdY2 after structural relaxation.

```
CaPr5NdY2
1.0
2.954 -8.821 0.000
2.954 8.821 0.000
0.000 0.000 12.250
Ca Pr Nd Y
2 10 2 4
direct
0.109 0.891 0.500 Ca
0.891 0.109 0.000 Ca
0.062 0.938 0.854 Pr
0.065 0.935 0.148 Pr
0.235 0.765 0.298 Pr
0.239 0.761 0.703 Pr
0.421 0.579 0.161 Pr
0.579 0.421 0.661 Pr
0.761 0.239 0.203 Pr
0.765 0.235 0.798 Pr
0.935 0.065 0.648 Pr
0.938 0.062 0.354 Pr
0.244 0.756 0.000 Nd
0.756 0.244 0.500 Nd
0.394 0.606 0.498 Y
0.421 0.579 0.837 Y
0.579 0.421 0.337 Y
0.606 0.394 0.998 Y
```

Output
theoretical density	5.55	Mg/m³
crystal system	orthorhombic
formation enthalpy at 0 K	75.1	kJ/mol of formula units

The records above give, respectively, calculated volume values of 149; 110; 114; 340; 102; 115; 135; 59; 116; 102; 184; 450; 73; 319; 92; 97; 130; 143; 240; 319 Å³/f.u..
The records above give, respectively, final energy values of -72.2; -17.8; -12.0; -44.6; -15.0; -9.9; -19.3; -11.9; -106.7; -23.1; -49.1; -60.9; -27.3; -45.1; -20.5; -21.5; -15.9; -81.1; -52.4; -85.6 eV per cell.
The records above give, respectively, size of the total moment values of 0.000; 0.000; 0.105; 0.000; 0.000; 0.000; 0.000; 0.000; 0.000; 0.137; 0.000; 0.000; 0.000; 0.000; 0.595; 0.000; 0.937; 0.000; 0.625; 0.000 μB/atom.